(1)
A geometry-optimized Pm12NdRh6 structure. Source: Alexandria, functional PBE.

a b c (Å): 13.6888 13.6888 10.1133
angles (deg): 90.00 90.00 120.00
Space group R-3m (No. 166, hexagonal axes)
One atom of each set of equivalent atoms:
Pm1 0.0000 0.3779 0.0000 [18 per cell]
Pm2 0.0867 0.1734 0.8537 [18 per cell]
Nd1 0.0000 0.0000 0.5000 [3 per cell]
Rh1 0.0408 0.5204 0.7631 [18 per cell]

Computed properties:
Energy of formation = -387 meV/atom

(2)
A geometry-optimized Pm2Nd2Rh3 structure. Source: Alexandria, functional PBE.

a b c (Å): 8.839 8.839 8.839
angles (deg): 90.00 90.00 90.00
Space group I2_13 (No. 199)
One atom of each set of equivalent atoms:
Pm1 0.059 0.441 0.559 [8 per cell]
Nd1 0.189 0.189 0.189 [8 per cell]
Rh1 0.000 0.250 0.866 [12 per cell]

Computed properties:
Energy of formation = -641 meV/atom

(3)
A geometry-optimized PmNdRh structure. Source: Alexandria, functional PBE.

a b c (Å): 4.1207 4.1207 6.3912
angles (deg): 90.00 90.00 120.00
Space group P3m1 (No. 156)
One atom of each set of equivalent atoms:
Pm1 0.0000 0.0000 0.0000 [1 per cell]
Nd1 0.3333 0.6667 0.5230 [1 per cell]
Rh1 0.6667 0.3333 0.7638 [1 per cell]

Computed properties:
Energy of formation = -454 meV/atom

(4)
A geometry-optimized PmNdRh2 structure. Source: Alexandria, functional PBE.

a b c (Å): 4.954 4.954 3.586
angles (deg): 90.00 90.00 90.00
Space group P4/mmm (No. 123)
One atom of each set of equivalent atoms:
Pm1 0.000 0.000 0.000 [1 per cell]
Nd1 0.500 0.500 0.000 [1 per cell]
Rh1 0.000 0.500 0.500 [2 per cell]

Computed properties:
Energy of formation = -659 meV/atom

(5)
A geometry-optimized PmNd2Sb3Rh4 structure. Source: Alexandria, functional PBE.

a b c (Å): 4.434 4.434 11.484
angles (deg): 90.00 90.00 90.00
Space group P-4m2 (No. 115)
One atom of each set of equivalent atoms:
Pm1 0.000 0.000 0.000 [1 per cell]
Nd1 0.000 0.500 0.722 [2 per cell]
Sb1 0.000 0.500 0.371 [2 per cell]
Sb2 0.500 0.500 0.000 [1 per cell]
Rh1 0.000 0.000 0.500 [1 per cell]
Rh2 0.000 0.500 0.148 [2 per cell]
Rh3 0.500 0.500 0.500 [1 per cell]

Computed properties:
Formation energy from raw total energies = -8.25 eV per formula unit

(6)
A geometry-optimized PmNdTh2Rh4 structure. Source: Alexandria, functional PBE.

a b c (Å): 7.881 11.459 8.493
angles (deg): 90.00 90.00 90.00
Space group Fmm2 (No. 42)
One atom of each set of equivalent atoms:
Pm1 0.000 0.000 0.000 [4 per cell]
Nd1 0.000 0.000 0.558 [4 per cell]
Th1 0.250 0.250 0.292 [8 per cell]
Rh1 0.000 0.247 0.043 [8 per cell]
Rh2 0.209 0.000 0.279 [8 per cell]

Computed properties:
Energy of formation = -728 meV/atom

(7)
A geometry-optimized PmNdTlRh structure. Source: Alexandria, functional PBE.

a b c (Å): 7.444 7.444 7.444
angles (deg): 90.00 90.00 90.00
Space group F-43m (No. 216)
One atom of each set of equivalent atoms:
Pm1 0.000 0.000 0.000 [4 per cell]
Nd1 0.000 0.000 0.500 [4 per cell]
Tl1 0.250 0.250 0.250 [4 per cell]
Rh1 0.250 0.250 0.750 [4 per cell]

Computed properties:
Energy of formation = -398 meV/atom

(8)
A geometry-optimized PmNdTlRh structure. Source: Alexandria, functional PBE.

a b c (Å): 3.587 3.587 8.043
angles (deg): 90.00 90.00 90.00
Space group P4mm (No. 99)
One atom of each set of equivalent atoms:
Pm1 0.000 0.000 0.000 [1 per cell]
Nd1 0.000 0.000 0.425 [1 per cell]
Tl1 0.500 0.500 0.715 [1 per cell]
Rh1 0.500 0.500 0.208 [1 per cell]

Computed properties:
Energy of formation = -515 meV/atom